# NaTe2PtN

A relaxed NaTe2PtN crystal (GGA-PBE, Alexandria via LeMat-Bulk).

Unit cell a=5.3942 b=5.3942 c=4.0535 alpha=90.00 beta=90.00 gamma=90.00
Closest atoms and distances in Å follow each position.
Fractional coordinates of all 5 atoms:
1 Na 0.0000 0.0000 0.0000  2 N 2.03
2 Te 0.0000 0.5000 0.0000  2 Na 2.70
3 Te 0.5000 0.0000 0.0000  2 Na 2.70
4 Pt 0.5000 0.5000 0.5000  8 Te 3.37
5 N 0.0000 0.0000 0.5000  2 Na 2.03

Calculated values
**Mass density**: 6.86 g cm⁻³
**Space group**: No. 123
**Volume**: 117.9 Å³ per cell
**E_form (uncorrected)**: 1482 meV/atom
**Total DFT energy (no corrections)**: -2.912 eV per atom